Material: CaHoO2
Method: DFT, PBE
State: optimized geometry

```
CaHoO2
1.0
3.372 0.000 0.000
1.686 2.921 0.000
1.686 0.974 5.628
Ca Ho O
1 1 2
Direct
0.000 0.000 0.000
0.500 0.500 0.500
0.248 0.248 0.256
0.752 0.752 0.744
```

Energy relative to the lowest polymorph listed for this composition   0 meV/atom
ΔE_f (raw)   -2.862 eV per atom
DOS(E_F)   0.68 states/eV per cell
Symmetry   R-3m
Size of the total moment   0.000 μB/f.u.
E   -27.95 eV per cell
Mass density   7.10 g/cm³